1.
Computed, not measured: an optimized crystal structure of PuMgAl2 at the PBE level of DFT. Values from VASP.

```
&SYSTEM
  ibrav = 0, nat = 4, ntyp = 3
/
ATOMIC_SPECIES
Pu 244.00 Pu.upf
Mg 24.30 Mg.upf
Al 26.98 Al.upf
ATOMIC_POSITIONS crystal
Pu 0.500 0.500 0.500
Mg 0.500 0.000 0.000
Al 0.000 0.500 0.000
Al 0.000 0.000 0.500
CELL_PARAMETERS angstrom
-3.543 1.708 -1.150
-1.368 -3.996 -1.720
-1.838 -1.104 4.025
```

Properties
The calculation puts the magnetization at 5.6 Bohr magnetons per cell. As for the density of states at the Fermi level: 8.00 states/eV/f.u. The space group is No. 123. The formation enthalpy at 0 K comes out at -92 meV per atom.



2.
Computed, not measured: an optimized crystal structure of Pu2MgAl9 at the PBE level of DFT. Values from VASP.

```
&SYSTEM
  ibrav = 0, nat = 12, ntyp = 3
/
ATOMIC_SPECIES
Al 26.98 Al.upf
Pu 244.00 Pu.upf
Mg 24.30 Mg.upf
ATOMIC_POSITIONS crystal
Al 0.335 0.335 0.996
Al 0.923 0.413 0.252
Al 0.587 0.077 0.748
Al 0.587 0.587 0.748
Al 0.500 0.500 0.500
Al 0.077 0.587 0.748
Al 0.413 0.923 0.252
Al 0.413 0.413 0.252
Al 0.665 0.665 0.004
Pu 0.855 0.855 0.436
Pu 0.145 0.145 0.564
Mg 0.000 0.000 0.000
CELL_PARAMETERS angstrom
-4.115 3.622 -0.664
-5.115 -1.306 1.617
-1.407 4.134 8.312
```

Properties
The calculation puts the magnetization at 11.5 Bohr magnetons per cell. As for the density of states at the Fermi level: 15.99 states/eV/f.u. The space group is No. 166. The formation enthalpy at 0 K comes out at -122 meV per atom.